(1)
3
Lattice="-1.244 -4.261 -2.685 4.949 1.528 0.293 0.375 -1.698 2.522" Properties=species:S:1:pos:R:3 comment="LaThFe GGA-PBE optimized geometry" spacegroup=P-6m2 e_form_mev_per_atom=852 pbc="T T T"
Fe 0.820 -2.331 -1.692
La 2.884 -0.401 -0.700
Th 0.000 0.000 0.000


(2)
3
Lattice="0.000 3.274 3.274 3.274 0.000 3.274 3.274 3.274 0.000" Properties=species:S:1:pos:R:3 comment="LaUFe GGA-PBE optimized geometry" spacegroup=F-43m e_form_mev_per_atom=587 pbc="T T T"
Fe 0.000 0.000 0.000
La 1.637 1.637 1.637
U 4.911 4.911 4.911


(3)
4
Lattice="-4.266 -1.607 1.160 -2.072 1.473 3.958 -3.730 2.858 -0.220" Properties=species:S:1:pos:R:3 comment="LaZnFe2 GGA-PBE optimized geometry" spacegroup=F-43m e_form_mev_per_atom=326 pbc="T T T"
Fe 0.000 0.000 0.000
Fe -7.551 2.043 3.674
La -2.517 0.681 1.225
Zn -5.034 1.362 2.449


(4)
7
Lattice="-5.135 2.344 2.344 -2.344 2.344 5.135 -2.344 5.135 2.344" Properties=species:S:1:pos:R:3 comment="Li2Fe5 GGA-PBE optimized geometry" spacegroup=R-3m pbc="T T T"
Fe -0.474 0.474 0.474
Fe -3.360 3.360 3.360
Fe -4.735 4.735 4.735
Fe -6.111 6.111 6.111
Fe -8.996 8.996 8.996
Li -1.959 1.959 1.959
Li -7.514 7.514 7.514


(5)
6
Lattice="1.464 -2.764 3.514 2.773 1.752 3.372 -1.690 0.626 4.346" Properties=species:S:1:pos:R:3 comment="Li2Fe GGA-PBE optimized geometry" spacegroup=Fd-3m pbc="T T T"
Fe 0.000 0.000 0.000
Fe 0.637 -0.097 2.808
Li 2.437 -0.554 4.847
Li 0.205 -1.118 5.334
Li 0.860 1.141 5.263
Li 1.592 -0.241 7.020


(6)
3
Lattice="2.238 -6.493 1.059 3.150 -6.070 -1.233 4.422 -5.303 0.781" Properties=species:S:1:pos:R:3 comment="Li2Fe GGA-PBE optimized geometry" spacegroup=R-3m pbc="T T T"
Fe 0.000 0.000 0.000
Li 2.237 -4.075 0.139
Li 7.573 -13.792 0.469


(7)
6
Lattice="4.730 0.000 0.000 -2.365 4.097 0.000 0.000 0.000 3.933" Properties=species:S:1:pos:R:3 comment="LiFe5 GGA-PBE optimized geometry" spacegroup=P6/mmm pbc="T T T"
Fe 2.365 1.366 0.000
Fe 0.000 2.731 0.000
Fe 2.365 0.000 1.966
Fe -1.183 2.048 1.966
Fe 1.183 2.048 1.966
Li 0.000 0.000 0.000


(8)
6
Lattice="4.411 0.000 0.000 0.000 4.411 0.000 0.000 0.000 4.014" Properties=species:S:1:pos:R:3 comment="LiFe2 GGA-PBE optimized geometry" spacegroup=P4_2/mnm pbc="T T T"
Fe 1.441 1.441 0.000
Fe 2.971 2.971 0.000
Fe 3.646 0.765 2.007
Fe 0.765 3.646 2.007
Li 0.000 0.000 0.000
Li 2.206 2.206 2.007


Number 1: total DFT energy (no corrections) -6.029 eV per atom. Number 2: total DFT energy (no corrections) -7.588 eV per atom. Number 3: total DFT energy (no corrections) -5.375 eV per atom. Number 4: total DFT energy (no corrections) -6.180 eV per atom. Number 5: total DFT energy (no corrections) -3.551 eV per atom. Number 6: total DFT energy (no corrections) -3.802 eV per atom. Number 7: total DFT energy (no corrections) -6.926 eV per atom. Number 8: total DFT energy (no corrections) -5.022 eV per atom.